Entry 1:
BaCeNiSe3 | PBE | relaxed

Calculated values
**Energy relative to the elements, uncorrected**: -1.5323 eV/atom
**M_tot**: 0.01 μB/atom

Unit cell a=4.166 b=7.346 c=10.754 alpha=90.00 beta=90.00 gamma=106.47
Last column: magnetic moment on the atom in μB.
Sites, in units of the cell vectors:
Se1 0.064 0.128 0.750  -0.02
Se2 0.365 0.731 0.570  -0.01
Se3 0.635 0.269 0.070  -0.01
Se4 0.936 0.872 0.250  -0.02
Se5 0.635 0.269 0.430  -0.01
Se6 0.365 0.731 0.930  -0.01
Ni1 0.530 0.059 0.250  -0.20
Ni2 0.470 0.941 0.750  -0.20
Ce1 0.000 0.000 0.000  0.29
Ce2 0.000 0.000 0.500  0.29
Ba1 0.257 0.515 0.250  0.00
Ba2 0.743 0.485 0.750  0.00


Entry 2:
Ba2V2Te | PBE | relaxed

Calculated values
**Energy relative to the elements, uncorrected**: 0.2092 eV/atom
**M_tot**: 0.00 μB/atom
**Energy above the most stable polymorph in this dataset**: 0.000 eV per formula unit

Unit cell a=8.191 b=8.191 c=4.748 alpha=90.00 beta=90.00 gamma=90.00
Sites, in units of the cell vectors:
Ba1 0.204 0.704 0.500
Ba2 0.296 0.204 0.500
Ba3 0.796 0.296 0.500
Ba4 0.704 0.796 0.500
Te1 0.500 0.500 0.000
Te2 0.000 0.000 0.000
V1 0.921 0.579 0.000
V2 0.579 0.079 0.000
V3 0.421 0.921 0.000
V4 0.079 0.421 0.000


Entry 3:
YErLuTh | PBE | relaxed

Calculated values
**Formation energy from the elements**: 123 meV/atom
**M_tot**: 0.00 μB/atom

Unit cell a=5.627 b=5.627 c=5.627 alpha=60.00 beta=60.00 gamma=60.00
Sites, in units of the cell vectors:
Y1 0.500 0.500 0.500
Th1 0.000 0.000 0.000
Er1 0.250 0.250 0.250
Lu1 0.750 0.750 0.750


Entry 4:
NaPd4Pb8 | PBE | relaxed

Calculated values
**Formation energy from the elements**: -110 meV/atom
**M_tot**: 0.00 μB/atom

Unit cell a=6.174 b=7.893 c=7.893 alpha=81.20 beta=66.98 gamma=66.98
Sites, in units of the cell vectors:
Pd1 0.500 0.500 0.000
Pd2 0.000 0.500 0.000
Pd3 0.000 0.000 0.500
Pd4 0.500 0.000 0.500
Pb1 0.334 0.666 0.666
Pb2 0.718 0.782 0.782
Pb3 0.000 0.666 0.334
Pb4 0.500 0.782 0.218
Pb5 0.000 0.334 0.666
Pb6 0.282 0.218 0.218
Pb7 0.500 0.218 0.782
Pb8 0.666 0.334 0.334
Na1 0.000 0.000 0.000


What is the formula in the fourth record? NaPd4Pb8